No. 1
## BeNbAg (GGA-PBE)

Data for an optimized crystal structure of BeNbAg.

```
6
Lattice="2.793 0.000 0.000 0.375 4.637 0.000 1.347 0.695 6.906" Properties=species:S:1:pos:R:3 pbc="T T T"
Be 0.749 1.046 2.573
Be 3.766 4.285 4.333
Nb 2.024 1.889 4.560
Nb 2.491 3.442 2.346
Ag 2.360 4.183 6.418
Ag 2.155 1.148 0.488
```

Energy above the most stable polymorph in this dataset = 0.138 eV per atom
Final energy = -32.56 eV/cell
Symmetry = P-1
Calculated formation energy = 0.1219 eV/atom
Density = 7.8 g/cm3

---

No. 2
## SmZn2Cu2Ni (GGA-PBE)

Data for an optimized crystal structure of SmZn2Cu2Ni.

```
6
Lattice="4.545 0.000 0.000 0.000 4.545 0.000 0.000 0.000 5.124" Properties=species:S:1:pos:R:3 pbc="T T T"
Sm 0.000 0.000 0.000
Zn 2.272 2.272 1.269
Zn 2.272 2.272 3.855
Cu 0.000 2.272 2.562
Cu 2.272 0.000 2.562
Ni 0.000 0.000 2.562
```

Final energy = -21.39 eV/cell
Symmetry = P4/mmm
Calculated formation energy = -0.0255 eV/atom
Density = 7.3 g/cm3

---

No. 3
## HoBeGa2Ru2 (GGA-PBE)

Data for an optimized crystal structure of HoBeGa2Ru2.

```
6
Lattice="4.289 0.000 0.000 0.000 4.289 0.000 0.000 0.000 5.354" Properties=species:S:1:pos:R:3 pbc="T T T"
Ho 0.000 0.000 0.000
Be 0.000 0.000 2.677
Ga 2.144 2.144 1.265
Ga 2.144 2.144 4.088
Ru 0.000 2.144 2.677
Ru 2.144 0.000 2.677
```

Final energy = -35.52 eV/cell
Symmetry = P4/mmm
Calculated formation energy = -0.4357 eV/atom
Density = 8.7 g/cm3

---

No. 4
## ScCuN (GGA-PBE)

Data for an optimized crystal structure of ScCuN.

```
12
Lattice="4.258 0.000 0.000 0.000 4.419 0.000 0.000 0.000 8.157" Properties=species:S:1:pos:R:3 pbc="T T T"
Sc 1.064 1.105 0.536
Sc 1.064 3.314 3.441
Sc 3.193 1.105 4.715
Sc 3.193 3.314 7.620
Cu 1.064 0.004 6.083
Cu 1.064 2.205 6.083
Cu 3.193 2.214 2.073
Cu 3.193 4.414 2.073
N 1.064 1.105 2.849
N 1.064 3.314 7.864
N 3.193 1.105 0.293
N 3.193 3.314 5.308
```

Final energy = -81.27 eV/cell
Symmetry = Pmmn
Density = 5.3 g/cm3
Formation energy without anion corrections = -522 meV per atom

---

No. 5
## CaBi2OsRh (GGA-PBE)

Data for an optimized crystal structure of CaBi2OsRh.

```
5
Lattice="5.156 0.000 0.000 0.000 5.156 0.000 0.000 0.000 5.104" Properties=species:S:1:pos:R:3 pbc="T T T"
Ca 0.000 0.000 0.000
Bi 0.000 2.578 2.552
Bi 2.578 0.000 2.552
Os 2.578 2.578 0.000
Rh 0.000 0.000 2.552
```

Final energy = -24.01 eV/cell
Symmetry = P4/mmm
Calculated formation energy = 0.8667 eV/atom
Density = 9.2 g/cm3

---

No. 6
## CoRe2Pb (GGA-PBE)

Data for an optimized crystal structure of CoRe2Pb.

```
4
Lattice="3.760 0.000 0.000 0.000 3.760 0.000 0.000 0.000 4.523" Properties=species:S:1:pos:R:3 pbc="T T T"
Co 0.000 0.000 0.000
Re 0.000 1.880 2.262
Re 1.880 0.000 2.262
Pb 1.880 1.880 0.000
```

Final energy = -32.13 eV/cell
Symmetry = P4/mmm
Calculated formation energy = 0.8943 eV/atom
Density = 16.6 g/cm3

---

Which value of final energy does entry 1 give? -32.56 eV/cell

---

Among the records above, which one has the lowest density? ScCuN

---

What did the sixth record say?
## CoRe2Pb (GGA-PBE)

Data for an optimized crystal structure of CoRe2Pb.

```
4
Lattice="3.760 0.000 0.000 0.000 3.760 0.000 0.000 0.000 4.523" Properties=species:S:1:pos:R:3 pbc="T T T"
Co 0.000 0.000 0.000
Re 0.000 1.880 2.262
Re 1.880 0.000 2.262
Pb 1.880 1.880 0.000
```

Final energy = -32.13 eV/cell
Symmetry = P4/mmm
Calculated formation energy = 0.8943 eV/atom
Density = 16.6 g/cm3

---

The lowest density belongs to which entry? ScCuN